Density functional theory data (PBE-GGA) for crystalline TbYH at its relaxed geometry.

Its distance to the lowest polymorph of the same formula is 0.041 eV/atom.

Cell: 3.6368 3.6368 5.6110 Å, 90.00 90.00 120.00°
Closest atoms and distances in Å follow each position.
Sites, in units of the cell vectors:
Tb  0.0000  0.0000  0.0000  3 H 2.51
Y  0.6667  0.3333  0.5131  3 H 2.50
H  0.3333  0.6667  0.7547  3 Y 2.50, 3 Tb 2.51

Density functional theory data (PBE-GGA) for crystalline Tb4Y2H at its relaxed geometry.

As for the total energy: -68.7 eV for the cell shown.

Cell: 4.8554 4.8554 17.1881 Å, 90.00 90.00 90.00°
Closest atoms and distances in Å follow each position.
Sites, in units of the cell vectors:
Tb  0.0000  0.0000  0.1479  1 H 2.54
Tb  0.0000  0.0000  0.8521  1 H 2.54
Tb  0.0000  0.5000  0.0000  2 H 2.43
Tb  0.0000  0.5000  0.5000  2 H 2.43
Tb  0.5000  0.0000  0.0000  2 H 2.43
Tb  0.5000  0.0000  0.5000  2 H 2.43
Tb  0.5000  0.5000  0.3521  1 H 2.54
Tb  0.5000  0.5000  0.6479  1 H 2.54
Y  0.0000  0.0000  0.3506  9 Tb 3.43-3.53
Y  0.0000  0.0000  0.6494  9 Tb 3.43-3.53
Y  0.5000  0.5000  0.1494  9 Tb 3.43-3.53
Y  0.5000  0.5000  0.8506  9 Tb 3.43-3.53
H  0.0000  0.0000  0.0000  6 Tb 2.43-2.54
H  0.5000  0.5000  0.5000  6 Tb 2.43-2.54

Density functional theory data (PBE-GGA) for crystalline TbYH at its relaxed geometry.

Its distance to the lowest polymorph of the same formula is 0.169 eV/atom.

Cell: 3.3556 3.3556 12.1874 Å, 90.00 90.00 90.00°
Closest atoms and distances in Å follow each position.
Sites, in units of the cell vectors:
Tb  0.0000  0.0000  0.0000  1 H 2.24
Tb  0.5000  0.5000  0.5000  1 H 2.24
Y  0.0000  0.0000  0.7099  4 H 2.39
Y  0.5000  0.5000  0.2099  4 H 2.39
H  0.0000  0.0000  0.1837  1 Tb 2.24, 4 Y 2.39
H  0.5000  0.5000  0.6837  1 Tb 2.24, 4 Y 2.39

Density functional theory data (PBE-GGA) for crystalline Tb3YH8 at its relaxed geometry.

As for the total energy: -55.8 eV for the cell shown.

Cell: 5.2113 5.2113 5.2113 Å, 90.00 90.00 90.00°
Closest atoms and distances in Å follow each position.
Sites, in units of the cell vectors:
Tb  0.0000  0.0000  0.5000  8 H 2.26
Tb  0.0000  0.5000  0.0000  8 H 2.26
Tb  0.5000  0.0000  0.0000  8 H 2.26
Y  0.5000  0.5000  0.5000  8 H 2.25
H  0.2506  0.2506  0.2506  1 Y 2.25, 3 Tb 2.26
H  0.2506  0.2506  0.7494  1 Y 2.25, 3 Tb 2.26
H  0.2506  0.7494  0.2506  1 Y 2.25, 3 Tb 2.26
H  0.2506  0.7494  0.7494  1 Y 2.25, 3 Tb 2.26
H  0.7494  0.2506  0.2506  1 Y 2.25, 3 Tb 2.26
H  0.7494  0.2506  0.7494  1 Y 2.25, 3 Tb 2.26
H  0.7494  0.7494  0.2506  1 Y 2.25, 3 Tb 2.26
H  0.7494  0.7494  0.7494  1 Y 2.25, 3 Tb 2.26

Density functional theory data (PBE-GGA) for crystalline TbY2H at its relaxed geometry.

Its distance to the lowest polymorph of the same formula is 0.000 eV/atom.

Cell: 3.6052 3.6052 25.6101 Å, 90.00 90.00 120.00°
Closest atoms and distances in Å follow each position.
Sites, in units of the cell vectors:
Tb  0.0000  0.0000  0.0000  6 Y 3.56, 6 Tb 3.61
Tb  0.3333  0.6667  0.6667  6 Y 3.56, 6 Tb 3.61
Tb  0.6667  0.3333  0.3333  6 Y 3.56, 6 Tb 3.61
Y  0.0000  0.0000  0.2207  3 H 2.50
Y  0.0000  0.0000  0.7793  3 H 2.50
Y  0.3333  0.6667  0.4459  3 H 2.50
Y  0.3333  0.6667  0.8874  3 H 2.50
Y  0.6667  0.3333  0.1126  3 H 2.50
Y  0.6667  0.3333  0.5541  3 H 2.50
H  0.0000  0.0000  0.5000  6 Y 2.50
H  0.3333  0.6667  0.1667  6 Y 2.50
H  0.6667  0.3333  0.8333  6 Y 2.50

Density functional theory data (PBE-GGA) for crystalline TbY3H8 at its relaxed geometry.

As for the total energy: -59.6 eV for the cell shown.

Cell: 5.1970 5.1970 5.1970 Å, 90.00 90.00 90.00°
Closest atoms and distances in Å follow each position.
Sites, in units of the cell vectors:
Tb  0.0000  0.0000  0.0000  8 H 2.25
Y  0.0000  0.5000  0.5000  8 H 2.25
Y  0.5000  0.0000  0.5000  8 H 2.25
Y  0.5000  0.5000  0.0000  8 H 2.25
H  0.2505  0.2505  0.2505  3 Y 2.25, 1 Tb 2.25
H  0.2505  0.2505  0.7495  3 Y 2.25, 1 Tb 2.25
H  0.2505  0.7495  0.2505  3 Y 2.25, 1 Tb 2.25
H  0.2505  0.7495  0.7495  3 Y 2.25, 1 Tb 2.25
H  0.7495  0.2505  0.2505  3 Y 2.25, 1 Tb 2.25
H  0.7495  0.2505  0.7495  3 Y 2.25, 1 Tb 2.25
H  0.7495  0.7495  0.2505  3 Y 2.25, 1 Tb 2.25
H  0.7495  0.7495  0.7495  3 Y 2.25, 1 Tb 2.25

Density functional theory data (PBE-GGA) for crystalline TbY2H at its relaxed geometry.

Its distance to the lowest polymorph of the same formula is 0.320 eV/atom.

Cell: 3.3616 3.3616 8.5181 Å, 90.00 90.00 90.00°
Closest atoms and distances in Å follow each position.
Sites, in units of the cell vectors:
Tb  0.0000  0.0000  0.0000  4 Tb 3.36, 8 Y 3.54
Y  0.5000  0.5000  0.3080  4 H 2.89
Y  0.5000  0.5000  0.6920  4 H 2.89
H  0.0000  0.0000  0.5000  8 Y 2.89

Density functional theory data (PBE-GGA) for crystalline Tb12Zn3H5 at its relaxed geometry.

As for the total energy: -322.8 eV for the cell shown.

Cell: 13.2730 13.2730 13.2730 Å, 109.47 109.47 109.47°
Closest atoms and distances in Å follow each position.
Sites, in units of the cell vectors:
Tb  0.0177  0.2090  0.1126  1 H 2.18
Tb  0.0177  0.3087  0.9051  1 H 2.18
Tb  0.0949  0.6126  0.4036  1 H 2.18
Tb  0.0949  0.9823  0.6913  1 H 2.18
Tb  0.0964  0.7090  0.6913  1 H 2.18
Tb  0.0964  0.8874  0.4051  1 H 2.18
Tb  0.1126  0.0177  0.2090  1 H 2.18
Tb  0.1126  0.5949  0.9036  1 H 2.18
Tb  0.1913  0.2090  0.5964  1 H 2.18
Tb  0.1913  0.4823  0.5949  1 H 2.18
Tb  0.2090  0.1126  0.0177  1 H 2.18
Tb  0.2090  0.5964  0.1913  1 H 2.18
Tb  0.2910  0.3087  0.9036  1 H 2.18
Tb  0.2910  0.4823  0.3874  1 H 2.18
Tb  0.3087  0.9036  0.2910  1 H 2.18
Tb  0.3087  0.9051  0.0177  1 H 2.18
Tb  0.3874  0.2910  0.4823  1 H 2.18
Tb  0.3874  0.5964  0.9051  1 H 2.18
Tb  0.4036  0.0949  0.6126  1 H 2.18
Tb  0.4036  0.8087  0.7910  1 H 2.18
Tb  0.4051  0.0964  0.8874  1 H 2.18
Tb  0.4051  0.8087  0.5177  1 H 2.18
Tb  0.4823  0.3874  0.2910  1 H 2.18
Tb  0.4823  0.5949  0.1913  1 H 2.18
Tb  0.5177  0.4051  0.8087  1 H 2.18
Tb  0.5177  0.6126  0.7090  1 H 2.18
Tb  0.5949  0.1913  0.4823  1 H 2.18
Tb  0.5949  0.9036  0.1126  1 H 2.18
Tb  0.5964  0.1913  0.2090  1 H 2.18
Tb  0.5964  0.9051  0.3874  1 H 2.18
Tb  0.6126  0.4036  0.0949  1 H 2.18
Tb  0.6126  0.7090  0.5177  1 H 2.18
Tb  0.6913  0.0949  0.9823  1 H 2.18
Tb  0.6913  0.0964  0.7090  1 H 2.18
Tb  0.7090  0.5177  0.6126  1 H 2.18
Tb  0.7090  0.6913  0.0964  1 H 2.18
Tb  0.7910  0.4036  0.8087  1 H 2.18
Tb  0.7910  0.8874  0.9823  1 H 2.18
Tb  0.8087  0.5177  0.4051  1 H 2.18
Tb  0.8087  0.7910  0.4036  1 H 2.18
Tb  0.8874  0.4051  0.0964  1 H 2.18
Tb  0.8874  0.9823  0.7910  1 H 2.18
Tb  0.9036  0.1126  0.5949  1 H 2.18
Tb  0.9036  0.2910  0.3087  1 H 2.18
Tb  0.9051  0.0177  0.3087  1 H 2.18
Tb  0.9051  0.3874  0.5964  1 H 2.18
Tb  0.9823  0.6913  0.0949  1 H 2.18
Tb  0.9823  0.7910  0.8874  1 H 2.18
Zn  0.1250  0.2500  0.3750  8 Tb 3.05-3.06
Zn  0.1250  0.3750  0.7500  8 Tb 3.05-3.06
Zn  0.2500  0.3750  0.1250  8 Tb 3.05-3.06
Zn  0.2500  0.8750  0.6250  8 Tb 3.05-3.06
Zn  0.3750  0.1250  0.2500  8 Tb 3.05-3.06
Zn  0.3750  0.7500  0.1250  8 Tb 3.05-3.06
Zn  0.6250  0.2500  0.8750  8 Tb 3.05-3.06
Zn  0.6250  0.8750  0.7500  8 Tb 3.05-3.06
Zn  0.7500  0.1250  0.3750  8 Tb 3.05-3.06
Zn  0.7500  0.6250  0.8750  8 Tb 3.05-3.06
Zn  0.8750  0.6250  0.2500  8 Tb 3.05-3.06
Zn  0.8750  0.7500  0.6250  8 Tb 3.05-3.06
H  0.0000  0.0000  0.0000  6 Tb 2.56
H  0.0000  0.0000  0.5000  6 Tb 2.56
H  0.0000  0.5000  0.0000  6 Tb 2.56
H  0.0000  0.5000  0.5000  6 Tb 2.56
H  0.1250  0.7500  0.8750  4 Tb 2.18
H  0.1250  0.8750  0.2500  4 Tb 2.18
H  0.2500  0.1250  0.8750  4 Tb 2.18
H  0.2500  0.6250  0.3750  4 Tb 2.18
H  0.3750  0.2500  0.6250  4 Tb 2.18
H  0.3750  0.6250  0.7500  4 Tb 2.18
H  0.5000  0.0000  0.0000  6 Tb 2.56
H  0.5000  0.0000  0.5000  6 Tb 2.56
H  0.5000  0.5000  0.0000  6 Tb 2.56
H  0.5000  0.5000  0.5000  6 Tb 2.56
H  0.6250  0.3750  0.2500  4 Tb 2.18
H  0.6250  0.7500  0.3750  4 Tb 2.18
H  0.7500  0.3750  0.6250  4 Tb 2.18
H  0.7500  0.8750  0.1250  4 Tb 2.18
H  0.8750  0.1250  0.7500  4 Tb 2.18
H  0.8750  0.2500  0.1250  4 Tb 2.18

Density functional theory data (PBE-GGA) for crystalline Tb4Zn2H at its relaxed geometry.

As for the total energy: -51.8 eV for the cell shown.

Cell: 4.6771 4.6771 14.8112 Å, 90.00 90.00 90.00°
Closest atoms and distances in Å follow each position.
Sites, in units of the cell vectors:
Tb  0.0000  0.0000  0.1846  1 H 2.73, 1 Zn 2.82
Tb  0.0000  0.0000  0.8154  1 H 2.73, 1 Zn 2.82
Tb  0.0000  0.5000  0.0000  2 H 2.34
Tb  0.0000  0.5000  0.5000  2 H 2.34
Tb  0.5000  0.0000  0.0000  2 H 2.34
Tb  0.5000  0.0000  0.5000  2 H 2.34
Tb  0.5000  0.5000  0.3154  1 H 2.73, 1 Zn 2.82
Tb  0.5000  0.5000  0.6846  1 H 2.73, 1 Zn 2.82
Zn  0.0000  0.0000  0.3748  5 Tb 2.82-2.98
Zn  0.0000  0.0000  0.6252  5 Tb 2.82-2.98
Zn  0.5000  0.5000  0.1252  5 Tb 2.82-2.98
Zn  0.5000  0.5000  0.8748  5 Tb 2.82-2.98
H  0.0000  0.0000  0.0000  4 Tb 2.34
H  0.5000  0.5000  0.5000  4 Tb 2.34

| no. | total magnetization (μB/f.u.) |
| --- | --- |
| 1 | 0.0 |
| 2 | 0.0 |
| 3 | 0.0 |
| 4 | 0.0 |
| 5 | 0.0 |
| 6 | 0.0 |
| 7 | 0.0 |
| 8 | 0.0 |
| 9 | 0.0 |